This record from the Alexandria database describes KTl2RuO6 after structural relaxation. The functional is GGA-PBE.

Geometry as extended XYZ:
```
10
Lattice="-3.998 5.034 2.199 1.374 -1.479 5.884 3.503 4.124 -3.070" Properties=species:S:1:pos:R:3 pbc="T T T"
Tl 1.928 0.584 2.985
Tl -1.050 7.094 2.029
Ru 0.000 0.000 0.000
O 1.021 0.157 4.958
O -0.142 7.521 0.055
O 0.639 6.680 3.399
O 0.240 0.998 1.614
O -2.133 5.177 1.800
O 3.012 2.501 3.214
K -1.999 2.517 1.100
```

The value obtained for the density of states at the Fermi level is 0.21 states/eV per atom. The magnetic moment is 0.0 μB/f.u. The value obtained for the formation energy from raw total energies is -0.737 eV per atom. Its space group is P-3m1.


This record from the Alexandria database describes K3Tl3RuO8 after structural relaxation. The functional is GGA-PBE.

Geometry as extended XYZ:
```
15
Lattice="6.897 0.000 0.000 -3.449 5.931 -0.038 0.000 -3.953 6.261" Properties=species:S:1:pos:R:3 pbc="T T T"
O 3.449 2.256 2.009
O 0.000 -0.279 4.214
O 1.991 3.111 4.192
O 1.458 -1.133 2.031
O 0.000 2.020 1.889
O 3.449 -0.042 4.334
O 5.439 -1.133 2.031
O -1.991 3.111 4.192
K 0.000 0.000 0.000
K -1.724 2.965 -0.019
K 1.724 2.965 -0.019
Ru 0.000 -1.977 3.130
Tl 3.449 -1.977 3.130
Tl 1.724 0.989 3.111
Tl -1.724 0.989 3.111
```

The value obtained for the density of states at the Fermi level is 0.19 states/eV per atom. The magnetic moment is 2.0 μB/f.u. The value obtained for the formation energy from raw total energies is -1.047 eV per atom. Its space group is C2/m.


This record from the Alexandria database describes K2TmRuO4 after structural relaxation. The functional is GGA-PBE.

Geometry as extended XYZ:
```
8
Lattice="-1.188 2.410 2.036 2.428 -2.460 4.330 4.186 4.192 -2.520" Properties=species:S:1:pos:R:3 pbc="T T T"
K 1.499 3.301 -0.242
K 3.307 0.866 0.905
Ru 0.000 0.000 0.000
O 4.790 2.712 2.376
O 4.032 2.755 -0.908
O 0.636 1.430 1.469
O 2.582 -1.023 2.717
Tm 0.620 -0.025 3.183
```

The value obtained for the density of states at the Fermi level is 0.51 states/eV per atom. The magnetic moment is 1.0 μB/f.u. The value obtained for the formation energy from raw total energies is -1.871 eV per atom. Its space group is P2/m.


This record from the Alexandria database describes K4Tm3RuO8 after structural relaxation. The functional is GGA-PBE.

Geometry as extended XYZ:
```
16
Lattice="-1.186 2.523 6.091 -7.188 -0.717 -1.103 3.773 -5.494 -0.673" Properties=species:S:1:pos:R:3 pbc="T T T"
O -2.432 0.221 1.229
O -2.169 -3.909 3.086
O -4.060 -1.160 3.373
O -3.041 1.515 4.353
O -0.541 -2.529 0.942
O -1.560 -5.203 -0.038
O -3.495 -2.386 0.308
O -1.106 -1.302 4.007
Tm -4.187 0.903 2.494
Tm -1.707 -3.105 -0.888
Tm -2.300 -1.844 2.157
K 1.887 -2.747 -0.337
K -0.593 1.261 3.045
K 0.000 0.000 0.000
K 1.294 -1.486 2.709
Ru -3.594 -0.359 -0.551
```

The value obtained for the density of states at the Fermi level is 0.52 states/eV per atom. The magnetic moment is 1.0 μB/f.u. The value obtained for the formation energy from raw total energies is -2.320 eV per atom. Its space group is R-3m.


This record from the Alexandria database describes K2TmRu3O12 after structural relaxation. The functional is GGA-PBE.

Geometry as extended XYZ:
```
18
Lattice="-5.240 4.858 -2.122 -7.250 -1.507 0.850 -4.154 3.647 5.001" Properties=species:S:1:pos:R:3 pbc="T T T"
O -12.366 3.702 4.630
O -8.313 5.139 -0.178
O -12.979 4.385 0.612
O -8.331 1.860 3.907
O -5.413 -0.294 0.776
O -7.640 4.390 4.232
O -4.279 3.297 -0.901
O -11.232 7.292 2.953
O -9.004 2.609 -0.503
O -9.558 1.198 1.662
O -3.666 2.614 3.117
O -7.087 5.800 2.067
Ru -2.620 2.429 -1.061
Ru -2.077 1.824 2.500
Ru -3.625 -0.753 0.425
Tm 0.000 0.000 0.000
K -10.439 4.389 2.339
K -6.205 2.609 1.390
```

The value obtained for the density of states at the Fermi level is 0.59 states/eV per atom. The magnetic moment is 2.2 μB/f.u. The value obtained for the formation energy from raw total energies is -1.279 eV per atom. Its space group is R-3m.


This record from the Alexandria database describes K3Tm3RuO8 after structural relaxation. The functional is GGA-PBE.

Geometry as extended XYZ:
```
15
Lattice="6.658 0.000 0.000 -3.329 5.767 -0.022 0.000 -3.822 6.282" Properties=species:S:1:pos:R:3 pbc="T T T"
O 0.000 -0.114 4.219
O 3.329 2.059 2.041
O 5.107 -1.020 2.053
O 3.329 0.015 4.264
O -1.778 2.964 4.207
O 0.000 1.929 1.996
O 1.778 2.964 4.207
O 1.551 -1.020 2.053
K 0.000 0.000 0.000
K 1.665 2.883 -0.011
K -1.665 2.883 -0.011
Ru 0.000 -1.911 3.141
Tm 1.665 0.972 3.130
Tm 3.329 -1.911 3.141
Tm -1.665 0.972 3.130
```

The value obtained for the density of states at the Fermi level is 0.42 states/eV per atom. The magnetic moment is 2.0 μB/f.u. The value obtained for the formation energy from raw total energies is -2.437 eV per atom. Its space group is R-3m.


This record from the Alexandria database describes K2URu3O12 after structural relaxation. The functional is GGA-PBE.

Geometry as extended XYZ:
```
18
Lattice="-4.858 2.851 -4.950 -7.413 -0.924 0.646 -4.627 5.651 1.699" Properties=species:S:1:pos:R:3 pbc="T T T"
O -8.733 3.498 1.264
O -8.876 1.759 -2.867
O -4.004 3.883 0.791
O -9.753 1.735 -0.392
O -8.166 4.080 -3.869
O -5.631 0.045 0.176
O -7.145 5.844 -2.213
O -12.894 3.695 -3.396
O -11.268 7.533 -2.782
O -12.760 5.329 0.486
O -4.138 2.249 -3.091
O -8.022 5.819 0.262
U 0.000 0.000 0.000
Ru -2.429 1.426 -2.475
Ru -2.314 2.826 0.849
Ru -3.707 -0.462 0.323
K -10.633 4.769 -1.639
K -6.265 2.809 -0.966
```

The value obtained for the density of states at the Fermi level is 0.44 states/eV per atom. The magnetic moment is 0.0 μB/f.u. The value obtained for the formation energy from raw total energies is -1.540 eV per atom. Its space group is R-3m.


Values for raw total energy, eV/atom, ordered as above
-5.2227 -5.0024 -6.3429 -6.4912 -6.5008 -6.8133 -7.1403